No. 1
The following is a PBE-GGA calculation of a geometry-optimized ScPIO2 structure, from Alexandria via LeMat-Bulk.

total magnetic moment = 0.0000 μB per atom
DFT total energy = -5.031 eV/atom
formation energy (no corrections) = -0.390 eV per atom
polymorph energy (0 for the lowest one) = 533.2 meV per atom

```
data_ScPIO2
_space_group_name_H-M_alt 'P 4/m m m'
_space_group_IT_number 123
_space_group_name_Hall '-P 4 2'
_cell_length_a 3.9407
_cell_length_b 3.9407
_cell_length_c 5.2381
_cell_angle_alpha 90.00
_cell_angle_beta 90.00
_cell_angle_gamma 90.00
loop_
_atom_site_label
_atom_site_type_symbol
_atom_site_fract_x
_atom_site_fract_y
_atom_site_fract_z
Sc1 Sc 0.0000 0.0000 0.0000
P1 P 0.5000 0.5000 0.5000
I1 I 0.5000 0.5000 0.0000
O1 O 0.0000 0.5000 0.5000
```

---

No. 2
The following is a PBE-GGA calculation of a geometry-optimized Ca3Bi2Cl structure, from Alexandria via LeMat-Bulk.

total magnetic moment = 0.0000 μB per atom
DFT total energy = -3.781 eV/atom
formation energy (no corrections) = -1.179 eV per atom

```
data_Ca3Bi2Cl
_space_group_name_H-M_alt 'P n m a'
_space_group_IT_number 62
_cell_length_a 10.5236
_cell_length_b 4.0236
_cell_length_c 18.1659
_cell_angle_alpha 90.00
_cell_angle_beta 90.00
_cell_angle_gamma 90.00
loop_
_space_group_symop_operation_xyz
'x,y,z'
'-x,-y,-z'
'-x+1/2,-y,z+1/2'
'x+1/2,y,-z+1/2'
'x+1/2,-y+1/2,-z+1/2'
'-x+1/2,y+1/2,z+1/2'
'-x,y+1/2,-z'
'x,-y+1/2,z'
loop_
_atom_site_label
_atom_site_type_symbol
_atom_site_fract_x
_atom_site_fract_y
_atom_site_fract_z
Ca1 Ca 0.1046 0.2500 0.0989
Ca2 Ca 0.1244 0.2500 0.7379
Ca3 Ca 0.1378 0.7500 0.4206
Bi1 Bi 0.1307 0.2500 0.2749
Bi2 Bi 0.1658 0.2500 0.5618
Cl1 Cl 0.0789 0.2500 0.9094
```

---

No. 3
The following is a PBE-GGA calculation of a geometry-optimized Np2ZnNi4Ge3 structure, from Alexandria via LeMat-Bulk.

ΔH_f (0 K) = -309 meV per atom
total magnetic moment = 0.7866 μB per atom
DFT total energy = -6.723 eV/atom

```
data_Np2ZnNi4Ge3
_space_group_name_H-M_alt 'P -4 m 2'
_space_group_IT_number 115
_cell_length_a 4.0446
_cell_length_b 4.0446
_cell_length_c 9.8565
_cell_angle_alpha 90.00
_cell_angle_beta 90.00
_cell_angle_gamma 90.00
loop_
_space_group_symop_operation_xyz
'x,y,z'
'y,-x,-z'
'-x,-y,z'
'-y,x,-z'
'-x,y,z'
'-y,-x,-z'
'x,-y,z'
'y,x,-z'
loop_
_atom_site_label
_atom_site_type_symbol
_atom_site_fract_x
_atom_site_fract_y
_atom_site_fract_z
Np1 Np 0.0000 0.5000 0.2488
Zn1 Zn 0.0000 0.0000 0.5000
Ni1 Ni 0.0000 0.0000 0.0000
Ni2 Ni 0.0000 0.5000 0.6348
Ni3 Ni 0.5000 0.5000 0.0000
Ge1 Ge 0.0000 0.5000 0.8710
Ge2 Ge 0.5000 0.5000 0.5000
```

---

No. 4
The following is a PBE-GGA calculation of a geometry-optimized BaZrNi2 structure, from Alexandria via LeMat-Bulk.

ΔH_f (0 K) = 15 meV per atom
total magnetic moment = 0.1186 μB per atom
DFT total energy = -5.494 eV/atom
polymorph energy (0 for the lowest one) = 103.2 meV per atom

```
data_BaZrNi2
_space_group_name_H-M_alt 'C 1 m 1'
_space_group_IT_number 8
_cell_length_a 7.2021
_cell_length_b 4.1515
_cell_length_c 7.1945
_cell_angle_alpha 90.00
_cell_angle_beta 109.48
_cell_angle_gamma 90.00
loop_
_space_group_symop_operation_xyz
'x,y,z'
'x,-y,z'
'x+1/2,y+1/2,z'
'x+1/2,-y+1/2,z'
loop_
_atom_site_label
_atom_site_type_symbol
_atom_site_fract_x
_atom_site_fract_y
_atom_site_fract_z
Ba1 Ba 0.0000 0.0000 0.0000
Zr1 Zr 0.3256 0.5000 0.4737
Ni1 Ni 0.0474 0.5000 0.6394
Ni2 Ni 0.2144 0.0000 0.6400
```

---

No. 5
The following is a PBE-GGA calculation of a geometry-optimized CaHRh2 structure, from Alexandria via LeMat-Bulk.

total magnetic moment = 0.0000 μB per atom
DFT total energy = -4.384 eV/atom
polymorph energy (0 for the lowest one) = 951.0 meV per atom

```
data_CaHRh2
_space_group_name_H-M_alt 'F m -3 m'
_space_group_IT_number 225
_space_group_name_Hall '-F 4 2 3'
_cell_length_a 6.2014
_cell_length_b 6.2014
_cell_length_c 6.2014
_cell_angle_alpha 90.00
_cell_angle_beta 90.00
_cell_angle_gamma 90.00
loop_
_atom_site_label
_atom_site_type_symbol
_atom_site_fract_x
_atom_site_fract_y
_atom_site_fract_z
Ca1 Ca 0.0000 0.0000 0.0000
H1 H 0.0000 0.0000 0.5000
Rh1 Rh 0.2500 0.2500 0.2500
```

---

No. 6
The following is a PBE-GGA calculation of a geometry-optimized AcHoSn2Au4 structure, from Alexandria via LeMat-Bulk.

ΔH_f (0 K) = -695 meV per atom
total magnetic moment = 0.0000 μB per atom
DFT total energy = -4.420 eV/atom

```
data_AcHoSn2Au4
_space_group_name_H-M_alt 'R -3 m'
_space_group_IT_number 166
_space_group_name_Hall '-R 3 2"'
_cell_length_a 5.0187
_cell_length_b 5.0187
_cell_length_c 26.0787
_cell_angle_alpha 90.00
_cell_angle_beta 90.00
_cell_angle_gamma 120.00
loop_
_atom_site_label
_atom_site_type_symbol
_atom_site_fract_x
_atom_site_fract_y
_atom_site_fract_z
Ac1 Ac 0.0000 0.0000 0.0000
Ho1 Ho 0.0000 0.0000 0.5000
Sn1 Sn 0.0000 0.0000 0.2468
Au1 Au 0.0000 0.0000 0.1330
Au2 Au 0.0000 0.0000 0.3878
```